# 1
The following is a DFT calculation (PBE) of crystalline MgTl2Ag2Br6 at its relaxed geometry. Values from VASP.

Cell and atoms, written as Quantum ESPRESSO input:
```
&SYSTEM
  ibrav = 0, nat = 11, ntyp = 4
/
ATOMIC_SPECIES
Mg 24.30 Mg.upf
Tl 204.38 Tl.upf
Ag 107.87 Ag.upf
Br 79.90 Br.upf
CELL_PARAMETERS angstrom
7.1108 -3.8461 0.0000
7.1108 3.8461 0.0000
-4.0444 0.0000 6.4854
ATOMIC_POSITIONS crystal
Mg 0.0000 0.0000 0.0000
Tl 0.2460 0.2460 0.7933
Tl 0.7540 0.7540 0.2067
Ag 0.4281 0.4281 0.5893
Ag 0.5719 0.5719 0.4107
Br 0.1806 0.6992 0.1786
Br 0.2156 0.2156 0.3264
Br 0.3008 0.8194 0.8214
Br 0.6992 0.1806 0.1786
Br 0.7844 0.7844 0.6736
Br 0.8194 0.3008 0.8214
```

Results
- uncorrected energy (eV/f.u.) = -30.71
- uncorrected formation energy (eV/atom) = -0.786
- symmetry = C2/m, No. 12

---

# 2
The following is a DFT calculation (PBE) of crystalline CuSnIO6 at its relaxed geometry. Values from VASP.

Cell and atoms, written as Quantum ESPRESSO input:
```
&SYSTEM
  ibrav = 0, nat = 18, ntyp = 4
/
ATOMIC_SPECIES
Cu 63.55 Cu.upf
Sn 118.71 Sn.upf
I 126.90 I.upf
O 16.00 O.upf
CELL_PARAMETERS angstrom
5.2323 0.0000 0.0000
-2.6161 4.5313 0.0000
0.0000 0.0000 9.1234
ATOMIC_POSITIONS crystal
Cu 0.3333 0.6667 0.2500
Cu 0.6667 0.3333 0.7500
Sn 0.0000 0.0000 0.0000
Sn 0.0000 0.0000 0.5000
I 0.3333 0.6667 0.7500
I 0.6667 0.3333 0.2500
O 0.0184 0.3527 0.6299
O 0.0184 0.6658 0.8701
O 0.3342 0.3527 0.8701
O 0.3342 0.9816 0.6299
O 0.3527 0.0184 0.1299
O 0.3527 0.3342 0.3701
O 0.6473 0.6658 0.6299
O 0.6473 0.9816 0.8701
O 0.6658 0.0184 0.3701
O 0.6658 0.6473 0.1299
O 0.9816 0.3342 0.1299
O 0.9816 0.6473 0.3701
```

Results
- uncorrected energy (eV/f.u.) = -44.92
- uncorrected formation energy (eV/atom) = -0.613
- symmetry = P-31c, No. 163

---

# 3
The following is a DFT calculation (PBE) of crystalline Rb2GaSi2 at its relaxed geometry. Values from VASP.

Cell and atoms, written as Quantum ESPRESSO input:
```
&SYSTEM
  ibrav = 0, nat = 10, ntyp = 3
/
ATOMIC_SPECIES
Rb 85.47 Rb.upf
Ga 69.72 Ga.upf
Si 28.09 Si.upf
CELL_PARAMETERS angstrom
6.8355 0.0000 0.0000
0.0000 6.8355 0.0000
0.0000 0.0000 5.9396
ATOMIC_POSITIONS crystal
Rb 0.1821 0.3179 0.0000
Rb 0.3179 0.8179 0.0000
Rb 0.6821 0.1821 0.0000
Rb 0.8179 0.6821 0.0000
Ga 0.0000 0.0000 0.5000
Ga 0.5000 0.5000 0.5000
Si 0.1232 0.6232 0.5000
Si 0.3768 0.1232 0.5000
Si 0.6232 0.8768 0.5000
Si 0.8768 0.3768 0.5000
```

Results
- uncorrected energy (eV/f.u.) = -14.59
- uncorrected formation energy (eV/atom) = 0.244
- symmetry = P4/mbm, No. 127
- offset from the most stable computed form (kJ/mol of atoms) = 0.00

---

# 4
The following is a DFT calculation (PBE) of crystalline KCuH2 at its relaxed geometry. Values from VASP.

Cell and atoms, written as Quantum ESPRESSO input:
```
&SYSTEM
  ibrav = 0, nat = 4, ntyp = 3
/
ATOMIC_SPECIES
K 39.10 K.upf
Cu 63.55 Cu.upf
H 1.01 H.upf
CELL_PARAMETERS angstrom
1.5854 0.9153 5.6590
-1.5854 0.9153 5.6590
0.0000 -1.8307 5.6590
ATOMIC_POSITIONS crystal
K 0.0000 0.0000 0.0000
Cu 0.5000 0.5000 0.5000
H 0.2182 0.2182 0.2182
H 0.7818 0.7818 0.7818
```

Results
- uncorrected energy (eV/f.u.) = -10.75
- symmetry = R-3m, No. 166
- offset from the most stable computed form (kJ/mol of atoms) = 38.09

---

# 5
The following is a DFT calculation (PBE) of crystalline Li5Al at its relaxed geometry. Values from VASP.

Cell and atoms, written as Quantum ESPRESSO input:
```
&SYSTEM
  ibrav = 0, nat = 6, ntyp = 2
/
ATOMIC_SPECIES
Li 6.94 Li.upf
Al 26.98 Al.upf
CELL_PARAMETERS angstrom
4.7733 0.0000 0.0000
0.0000 1.4590 7.7073
0.0000 -1.4590 7.7073
ATOMIC_POSITIONS crystal
Li 0.0000 0.0000 0.0000
Li 0.0000 0.3209 0.3209
Li 0.5000 0.2106 0.2106
Li 0.5000 0.5520 0.5520
Li 0.5000 0.8820 0.8820
Al 0.0000 0.6608 0.6608
```

Results
- uncorrected energy (eV/f.u.) = -13.64
- symmetry = Amm2, No. 38
- offset from the most stable computed form (kJ/mol of atoms) = 1.20

---

# 6
The following is a DFT calculation (PBE) of crystalline BaSc2NbPt at its relaxed geometry. Values from VASP.

Cell and atoms, written as Quantum ESPRESSO input:
```
&SYSTEM
  ibrav = 0, nat = 5, ntyp = 4
/
ATOMIC_SPECIES
Ba 137.33 Ba.upf
Sc 44.96 Sc.upf
Nb 92.91 Nb.upf
Pt 195.08 Pt.upf
CELL_PARAMETERS angstrom
5.2157 0.0000 0.0000
0.0000 5.2157 0.0000
0.0000 0.0000 5.1144
ATOMIC_POSITIONS crystal
Ba 0.0000 0.0000 0.0000
Sc 0.0000 0.5000 0.5000
Sc 0.5000 0.0000 0.5000
Nb 0.5000 0.5000 0.5000
Pt 0.5000 0.5000 0.0000
```

Results
- uncorrected energy (eV/f.u.) = -29.53
- symmetry = P4/mmm, No. 123
- offset from the most stable computed form (kJ/mol of atoms) = 0.00